Density functional theory data (PBE) for a geometry-optimized Tm2Al4NiAu3 structure.

Geometry as POSCAR:
```
Tm2Al4NiAu3
1.0
4.207 0.000 0.000
0.000 4.207 0.000
0.000 0.000 10.625
Tm Al Ni Au
2 4 1 3
direct
0.500 0.000 0.260
0.000 0.500 0.740
0.500 0.500 0.000
0.000 0.000 0.000
0.500 0.000 0.624
0.000 0.500 0.376
0.500 0.500 0.500
0.000 0.000 0.500
0.500 0.000 0.857
0.000 0.500 0.143
```

## Properties
The space-group type is P-4m2, No. 115. Its calculated formation energy is -642 meV per atom.


Density functional theory data (PBE) for a geometry-optimized SmGa5Pd2 structure.

Geometry as POSCAR:
```
SmGa5Pd2
1.0
-3.307 -2.259 -0.558
0.694 -3.247 -5.609
1.642 -6.244 0.901
Sm Ga Pd
1 5 2
direct
0.000 0.000 0.000
0.000 0.500 0.500
0.640 0.553 0.167
0.360 0.447 0.833
0.360 0.833 0.447
0.640 0.167 0.553
0.754 0.746 0.746
0.246 0.254 0.254
```

## Properties
The space-group type is Immm, No. 71. Its calculated formation energy is -560 meV per atom.


Density functional theory data (PBE) for a geometry-optimized La4Nd3S8 structure.

Geometry as POSCAR:
```
La4Nd3S8
1.0
-2.213 -0.307 -7.954
7.354 -2.844 2.355
-3.658 -4.909 5.498
La Nd S
4 3 8
direct
0.500 0.000 0.000
0.000 0.500 0.000
0.000 0.000 0.000
0.000 0.000 0.500
0.500 0.500 0.000
0.500 0.000 0.500
0.500 0.500 0.500
0.500 0.252 0.252
0.000 0.750 0.250
0.004 0.251 0.251
0.500 0.749 0.251
0.500 0.251 0.749
0.996 0.749 0.749
0.000 0.250 0.750
0.500 0.748 0.748
```

## Properties
The space-group type is C2/m, No. 12. The energy comes out at -0.2414 Ha/atom.


Density functional theory data (PBE) for a geometry-optimized ReHg2Sb structure.

Geometry as POSCAR:
```
ReHg2Sb
1.0
7.436 -0.025 -0.004
6.828 2.946 -0.004
1.301 0.267 4.180
Hg Re Sb
2 1 1
direct
0.062 0.062 0.939
0.438 0.438 0.561
0.750 0.750 0.750
0.250 0.250 0.250
```

## Properties
The space-group type is C2/m, No. 12. The energy comes out at -0.1362 Ha/atom.


Density functional theory data (PBE) for a geometry-optimized SrYRe2 structure.

Geometry as POSCAR:
```
SrYRe2
1.0
3.215 0.000 0.000
0.000 3.215 0.000
0.000 0.000 9.355
Re Sr Y
2 1 1
direct
0.000 0.000 0.049
0.500 0.500 0.184
0.000 0.000 0.441
0.500 0.500 0.825
```

## Properties
The space-group type is P4mm, No. 99. Its calculated formation energy is 313 meV per atom. The value obtained for the energy relative to the lowest polymorph listed for this composition is 73.4 meV/atom.